(1)
This record from Alexandria describes a relaxed Sn2Pd3Pt2 crystal. The functional is PBE-GGA.

Crystal system ... cubic
Formation energy ... -5.135 kcal/mol of atoms
Excess energy over the best structure of this formula in the dataset ... 0.1982 eV per atom

Cell lengths 7.973, 7.973, 7.973 Å; angles 90.00, 90.00, 90.00 degrees
Space group I2_13 (No. 199)
Inequivalent atoms, fractional coordinates:
1 Sn 0.023 0.023 0.023 (multiplicity 8)
2 Pd 0.000 0.250 0.281 (multiplicity 12)
3 Pt 0.163 0.337 0.663 (multiplicity 8)

(2)
This record from Alexandria describes a relaxed CeSc2Pa crystal. The functional is PBE-GGA.

Crystal system ... tetragonal
Formation energy ... 1.717 kcal/mol of atoms
Excess energy over the best structure of this formula in the dataset ... 0.0000 eV per atom

Cell lengths 3.223, 3.223, 9.691 Å; angles 90.00, 90.00, 90.00 degrees
Space group P4mm (No. 99)
Inequivalent atoms, fractional coordinates:
1 Ce 0.000 0.000 0.000 (multiplicity 1)
2 Sc 0.000 0.000 0.486 (multiplicity 1)
3 Sc 0.500 0.500 0.740 (multiplicity 1)
4 Pa 0.500 0.500 0.246 (multiplicity 1)

(3)
This record from Alexandria describes a relaxed ZrTi2Pb2 crystal. The functional is PBE-GGA.

Crystal system ... tetragonal
Formation energy ... 3.139 kcal/mol of atoms
Excess energy over the best structure of this formula in the dataset ... 0.1102 eV per atom

Cell lengths 8.198, 8.198, 3.225 Å; angles 90.00, 90.00, 90.00 degrees
Space group P4/mbm (No. 127)
Inequivalent atoms, fractional coordinates:
1 Zr 0.000 0.000 0.000 (multiplicity 2)
2 Ti 0.118 0.382 0.000 (multiplicity 4)
3 Pb 0.179 0.679 0.500 (multiplicity 4)

(4)
This record from Alexandria describes a relaxed Tb5Sm2HoEr crystal. The functional is PBE-GGA.

Crystal system ... tetragonal
Formation energy ... 6.586 kcal/mol of atoms

Cell lengths 8.577, 8.577, 15.841 Å; angles 90.00, 90.00, 90.00 degrees
Space group I4/mcm (No. 140)
Inequivalent atoms, fractional coordinates:
1 Tb 0.000 0.000 0.000 (multiplicity 4)
2 Tb 0.212 0.288 0.140 (multiplicity 16)
3 Sm 0.118 0.382 0.500 (multiplicity 8)
4 Ho 0.000 0.000 0.250 (multiplicity 4)
5 Er 0.000 0.500 0.250 (multiplicity 4)

(5)
This record from Alexandria describes a relaxed RbTlHg2Bi crystal. The functional is PBE-GGA.

Crystal system ... tetragonal
Formation energy ... 0.534 kcal/mol of atoms
Excess energy over the best structure of this formula in the dataset ... 0.2119 eV per atom

Cell lengths 5.998, 5.998, 6.397 Å; angles 90.00, 90.00, 90.00 degrees
Space group P4/mmm (No. 123)
Inequivalent atoms, fractional coordinates:
1 Rb 0.000 0.000 0.000 (multiplicity 1)
2 Tl 0.500 0.500 0.000 (multiplicity 1)
3 Hg 0.000 0.500 0.500 (multiplicity 2)
4 Bi 0.500 0.500 0.500 (multiplicity 1)

(6)
This record from Alexandria describes a relaxed CdNi2Sb crystal. The functional is PBE-GGA.

Crystal system ... trigonal
Formation energy (no corrections) ... 0.13 eV/atom

Cell lengths 3.1568, 3.1568, 23.5003 Å; angles 90.00, 90.00, 120.00 degrees
Space group R-3m (No. 166, hexagonal axes)
Inequivalent atoms, fractional coordinates:
1 Cd 0.0000 0.0000 0.0000 (multiplicity 3)
2 Ni 0.0000 0.0000 0.2449 (multiplicity 6)
3 Sb 0.0000 0.0000 0.5000 (multiplicity 3)

(7)
This record from Alexandria describes a relaxed SmTh5Bi6 crystal. The functional is PBE-GGA.

Crystal system ... monoclinic
Formation energy ... -14.317 kcal/mol of atoms

Cell lengths 7.947, 13.767, 7.960 Å; angles 90.00, 109.47, 90.00 degrees
Space group C2/m (No. 12)
Inequivalent atoms, fractional coordinates:
1 Sm 0.000 0.000 0.000 (multiplicity 2)
2 Th 0.000 0.167 0.500 (multiplicity 4)
3 Th 0.000 0.334 0.000 (multiplicity 4)
4 Th 0.000 0.500 0.500 (multiplicity 2)
5 Bi 0.247 0.000 0.751 (multiplicity 4)
6 Bi 0.248 0.166 0.248 (multiplicity 8)

(8)
This record from Alexandria describes a relaxed Tb2Nd5Ho crystal. The functional is PBE-GGA.

Crystal system ... orthorhombic
Formation energy ... 0.368 kcal/mol of atoms
Excess energy over the best structure of this formula in the dataset ... 0.0000 eV per atom

Cell lengths 7.257, 14.525, 5.137 Å; angles 90.00, 90.00, 90.00 degrees
Space group Pbam (No. 55)
Inequivalent atoms, fractional coordinates:
1 Tb 0.250 0.124 0.000 (multiplicity 4)
2 Nd 0.000 0.000 0.500 (multiplicity 2)
3 Nd 0.001 0.749 0.500 (multiplicity 4)
4 Nd 0.248 0.376 0.000 (multiplicity 4)
5 Ho 0.000 0.500 0.500 (multiplicity 2)

Copy entry 3 word for word.
This record from Alexandria describes a relaxed ZrTi2Pb2 crystal. The functional is PBE-GGA.

Crystal system ... tetragonal
Formation energy ... 3.139 kcal/mol of atoms
Excess energy over the best structure of this formula in the dataset ... 0.1102 eV per atom

Cell lengths 8.198, 8.198, 3.225 Å; angles 90.00, 90.00, 90.00 degrees
Space group P4/mbm (No. 127)
Inequivalent atoms, fractional coordinates:
1 Zr 0.000 0.000 0.000 (multiplicity 2)
2 Ti 0.118 0.382 0.000 (multiplicity 4)
3 Pb 0.179 0.679 0.500 (multiplicity 4)